(1)
4
Lattice="4.354 0.000 0.000 0.000 4.802 0.000 0.000 0.000 4.802" Properties=species:S:1:pos:R:3 comment="CeBi2Pt, optimized geometry, DFT PBE-GGA" volume_a3_per_atom=25.10 e_form_ev_per_atom=-0.5009 pbc="T T T"
Ce 2.177 2.401 2.401
Bi 0.000 0.000 2.401
Bi 0.000 2.401 0.000
Pt 2.177 0.000 0.000

(2)
14
Lattice="-6.116 -2.382 2.767 0.101 -4.447 5.563 -2.133 2.365 6.490" Properties=species:S:1:pos:R:3 comment="Ac2TmPa3N8, optimized geometry, DFT PBE-GGA" volume_a3_per_atom=18.66 formation_energy_uncorrected_ev_per_atom=-1.480 pbc="T T T"
Ac -2.088 0.746 5.194
Ac -4.074 -2.231 7.411
Tm -6.058 -5.259 9.587
Pa -3.051 -1.183 1.407
Pa 0.035 -2.208 2.794
Pa -3.000 -3.390 4.168
N -2.030 -1.381 3.493
N -6.118 -3.103 11.312
N -3.245 0.166 7.339
N -5.892 -0.865 8.536
N -3.202 -1.758 9.746
N -5.042 -2.568 4.982
N -2.074 -3.554 6.317
N -4.993 -4.691 7.638

(3)
4
Lattice="7.157 0.021 -0.003 4.863 5.252 0.003 -5.517 -3.761 2.579" Properties=species:S:1:pos:R:3 comment="TcHg2Sb, optimized geometry, DFT PBE-GGA" volume_a3_per_atom=24.18 formation_energy_uncorrected_ev_per_atom=0.336 pbc="T T T"
Hg 11.146 4.890 0.000
Hg 2.762 2.101 1.291
Sb 6.918 3.035 0.000
Tc 3.708 -0.603 1.288

(4)
9
Lattice="-0.594 -5.254 5.474 6.657 1.087 -3.525 1.182 3.230 3.228" Properties=species:S:1:pos:R:3 comment="YbMgSn, optimized geometry, DFT PBE-GGA" volume_a3_per_atom=26.29 e_form_ev_per_atom=-0.5754 pbc="T T T"
Yb 4.395 2.236 -0.400
Yb 3.189 -0.171 2.449
Yb 0.251 -1.388 4.742
Mg -0.146 -1.289 1.343
Mg 1.633 0.267 -0.865
Mg 4.575 -3.145 1.471
Sn 1.823 -3.140 2.474
Sn 4.240 -1.026 -0.525
Sn 0.591 1.615 1.614

(5)
8
Lattice="4.076 0.000 0.000 0.000 7.200 -0.134 0.000 2.554 7.163" Properties=species:S:1:pos:R:3 comment="Th4TeRuS2, optimized geometry, DFT PBE-GGA" volume_a3_per_atom=26.45 formation_energy_uncorrected_ev_per_atom=-1.244 pbc="T T T"
Th 0.000 7.418 5.070
Th 4.076 2.336 1.960
Th 2.038 6.034 1.911
Th 2.038 3.720 5.119
Te 2.038 3.600 -0.067
Ru 0.000 4.877 3.515
S 0.000 2.554 7.163
S 2.038 1.277 3.582

(6)
13
Lattice="5.996 -1.878 0.193 -4.707 9.695 1.640 0.311 1.952 9.390" Properties=species:S:1:pos:R:3 comment="Pr4Nd2Y7, optimized geometry, DFT PBE-GGA" volume_a3_per_atom=33.87 e_form_ev_per_atom=0.0134 pbc="T T T"
Pr -2.826 9.426 8.650
Pr 4.425 0.343 2.573
Pr 2.849 2.582 4.978
Pr -1.250 7.187 6.245
Nd 1.903 2.721 1.463
Nd -0.304 7.047 9.760
Y 1.266 4.800 7.358
Y 0.333 4.969 3.865
Y 0.000 0.000 0.000
Y 5.368 0.227 6.100
Y -3.768 9.542 5.123
Y -2.188 7.328 2.752
Y 3.787 2.441 8.471